{"formula": "Ti2VGeSe", "functional": "PBE", "state": "optimized geometry", "cell": [[4.6532, 0.0000, 0.0000], [0.0000, 4.5574, 0.0000], [0.0000, 0.0000, 4.6532]], "species": ["Ge", "Ti", "Ti", "Se", "V"], "frac_coords": [[0.5000, 0.5000, 0.5000], [0.0000, 0.0000, 0.5000], [0.5000, 0.0000, 0.0000], [0.0000, 0.0000, 0.0000], [0.0000, 0.5000, 0.0000]], "raw_formation_energy_mev_per_atom": 256, "magnetic_moment_mub_per_fu": 2.68, "de_polymorph_mev_per_atom": 0}